Record 1
Material: ZnNiIr
Method: DFT, SCAN
State: PBEsol geometry

Excess energy over the best structure of this formula in the dataset = 25.2 meV/atom
Calculated total energy = -100.991 eV per formula unit
Formation energy = -0.07 eV/atom

Unit cell a=2.666 b=2.666 c=5.620 alpha=103.72 beta=103.72 gamma=90.00
Element x y z (fractional)
Ni1 0.667 0.667 0.334
Zn1 0.327 0.327 0.654
Ir1 0.006 0.006 0.012

Record 2
Material: HfZnGeSe2
Method: DFT, SCAN
State: PBEsol geometry

Formation energy from raw total energies = 2.5 eV per formula unit
Calculated total energy = -132.920 eV per formula unit

Unit cell a=4.580 b=4.806 c=4.806 alpha=90.00 beta=90.00 gamma=90.00
Element x y z (fractional)
Ge1 0.500 0.000 0.000
Hf1 0.500 0.500 0.500
Zn1 0.000 0.000 0.000
Se1 0.000 0.000 0.500
Se2 0.000 0.500 0.000

Record 3
Material: TeP8
Method: DFT, SCAN
State: PBEsol geometry

Formation energy from raw total energies = 4.6 eV per formula unit
Calculated total energy = -115.882 eV per formula unit

Unit cell a=4.198 b=6.732 c=6.732 alpha=84.42 beta=71.83 gamma=71.83
Element x y z (fractional)
P1 0.211 0.000 0.578
P2 0.789 0.000 0.422
P3 0.626 0.374 0.374
P4 0.211 0.578 0.000
P5 0.000 0.374 0.626
P6 0.789 0.422 0.000
P7 0.374 0.626 0.626
P8 0.000 0.626 0.374
Te1 0.000 0.000 0.000